! La2ErAl9, optimized geometry, DFT PBE; values from VASP
&SYSTEM
  ibrav = 0, nat = 12, ntyp = 3
/
ATOMIC_SPECIES
La 138.91 La.upf
Er 167.26 Er.upf
Al 26.98 Al.upf
CELL_PARAMETERS angstrom
2.8368 1.6378 8.9127
-2.8368 1.6378 8.9127
0.0000 -3.2757 8.9127
ATOMIC_POSITIONS crystal
La 0.1419 0.1419 0.1419
La 0.8581 0.8581 0.8581
Er 0.0000 0.0000 0.0000
Al 0.0745 0.5842 0.5842
Al 0.3349 0.3349 0.3349
Al 0.4158 0.4158 0.9255
Al 0.4158 0.9255 0.4158
Al 0.5000 0.5000 0.5000
Al 0.5842 0.0745 0.5842
Al 0.5842 0.5842 0.0745
Al 0.6651 0.6651 0.6651
Al 0.9255 0.4158 0.4158
! - ΔH_f (0 K): -390 kJ/mol of formula units